1.
Compound: ZrOsOF2
Source: the Alexandria database
Functional: GGA-PBE
Structure: optimized geometry

a b c (Å): 4.549 4.549 3.662
angles (deg): 90.00 90.00 90.00
Positions (direct):
Zr 0.000 0.000 0.000
Os 0.500 0.500 0.500
O 0.500 0.500 0.000
F 0.000 0.500 0.500
F 0.500 0.000 0.500

Spin magnetization: 0.00 μB/f.u.


2.
Compound: ZrOsOF2
Source: the Alexandria database
Functional: GGA-PBE
Structure: optimized geometry

a b c (Å): 4.357 4.357 4.127
angles (deg): 90.00 90.00 90.00
Positions (direct):
Zr 0.000 0.000 0.000
Os 0.500 0.500 0.500
O 0.000 0.000 0.500
F 0.000 0.500 0.000
F 0.500 0.000 0.000

Spin magnetization: 3.99 μB/f.u.


Stability check: which of them is most stable? 2.


1.
Compound: POF3
Source: the Alexandria database
Functional: GGA-PBE
Structure: optimized geometry

a b c (Å): 5.508 5.508 6.267
angles (deg): 90.00 90.00 120.00
Positions (direct):
P 0.333 0.667 0.313
P 0.667 0.333 0.687
O 0.333 0.667 0.545
O 0.667 0.333 0.455
F 0.188 0.377 0.202
F 0.188 0.812 0.202
F 0.377 0.188 0.798
F 0.623 0.812 0.202
F 0.812 0.188 0.798
F 0.812 0.623 0.798

Spin magnetization: 0.00 μB/f.u.


2.
Compound: POF3
Source: the Alexandria database
Functional: GGA-PBE
Structure: optimized geometry

a b c (Å): 3.954 3.954 3.954
angles (deg): 90.00 90.00 90.00
Positions (direct):
P 0.000 0.000 0.000
O 0.500 0.500 0.500
F 0.000 0.000 0.500
F 0.000 0.500 0.000
F 0.500 0.000 0.000

Spin magnetization: 1.95 μB/f.u.


3.
Compound: POF3
Source: the Alexandria database
Functional: GGA-PBE
Structure: optimized geometry

a b c (Å): 4.945 6.628 5.133
angles (deg): 90.00 90.13 90.00
Positions (direct):
P 0.000 0.000 0.000
P 0.500 0.500 0.361
O 0.207 0.500 0.348
O 0.706 0.000 0.012
F 0.134 0.181 0.860
F 0.134 0.819 0.860
F 0.150 0.000 0.265
F 0.634 0.319 0.501
F 0.634 0.681 0.501
F 0.650 0.500 0.096

Spin magnetization: 0.11 μB/f.u.


Stability check: which of them is most stable? 1.


1.
Compound: PPdOF2
Source: the Alexandria database
Functional: GGA-PBE
Structure: optimized geometry

a b c (Å): 4.301 4.301 3.475
angles (deg): 90.00 90.00 90.00
Positions (direct):
P 0.000 0.000 0.000
Pd 0.500 0.500 0.500
O 0.000 0.000 0.500
F 0.000 0.500 0.000
F 0.500 0.000 0.000

Spin magnetization: 0.63 μB/f.u.


2.
Compound: PPdOF2
Source: the Alexandria database
Functional: GGA-PBE
Structure: optimized geometry

a b c (Å): 4.160 4.160 4.095
angles (deg): 90.00 90.00 90.00
Positions (direct):
P 0.000 0.000 0.000
Pd 0.500 0.500 0.500
O 0.500 0.500 0.000
F 0.000 0.500 0.500
F 0.500 0.000 0.500

Spin magnetization: 1.29 μB/f.u.


Stability check: which of them is most stable? 1.


1.
Compound: PPtOF2
Source: the Alexandria database
Functional: GGA-PBE
Structure: optimized geometry

a b c (Å): 4.377 4.377 3.424
angles (deg): 90.00 90.00 90.00
Positions (direct):
P 0.000 0.000 0.000
Pt 0.500 0.500 0.500
O 0.000 0.000 0.500
F 0.000 0.500 0.000
F 0.500 0.000 0.000

Spin magnetization: 0.73 μB/f.u.


2.
Compound: PPtOF2
Source: the Alexandria database
Functional: GGA-PBE
Structure: optimized geometry

a b c (Å): 4.474 4.474 3.786
angles (deg): 90.00 90.00 90.00
Positions (direct):
P 0.000 0.000 0.000
Pt 0.500 0.500 0.500
O 0.500 0.500 0.000
F 0.000 0.500 0.500
F 0.500 0.000 0.500

Spin magnetization: 1.31 μB/f.u.


Stability check: which of them is most stable? 1.


1.
Compound: RbP2OF
Source: the Alexandria database
Functional: GGA-PBE
Structure: optimized geometry

a b c (Å): 4.142 4.142 6.278
angles (deg): 90.00 90.00 90.00
Positions (direct):
Rb 0.000 0.000 0.000
P 0.000 0.500 0.500
P 0.500 0.000 0.500
O 0.500 0.500 0.000
F 0.500 0.500 0.500

Spin magnetization: 0.10 μB/f.u.


2.
Compound: RbP2OF
Source: the Alexandria database
Functional: GGA-PBE
Structure: optimized geometry

a b c (Å): 7.027 7.027 5.171
angles (deg): 90.00 90.00 90.00
Positions (direct):
Rb 0.000 0.000 0.000
P 0.000 0.500 0.000
P 0.500 0.000 0.000
O 0.000 0.000 0.500
F 0.500 0.500 0.500

Spin magnetization: 6.81 μB/f.u.


Stability check: which of them is most stable? 1.


1.
Compound: P2RhOF
Source: the Alexandria database
Functional: GGA-PBE
Structure: optimized geometry

a b c (Å): 3.977 3.977 4.166
angles (deg): 90.00 90.00 90.00
Positions (direct):
P 0.000 0.500 0.000
P 0.500 0.000 0.000
Rh 0.000 0.000 0.500
O 0.500 0.500 0.500
F 0.500 0.500 0.000

Spin magnetization: 0.00 μB/f.u.


2.
Compound: P2RhOF
Source: the Alexandria database
Functional: GGA-PBE
Structure: optimized geometry

a b c (Å): 4.742 4.742 3.703
angles (deg): 90.00 90.00 90.00
Positions (direct):
P 0.000 0.500 0.000
P 0.500 0.000 0.000
Rh 0.000 0.000 0.000
O 0.000 0.000 0.500
F 0.500 0.500 0.500

Spin magnetization: 0.00 μB/f.u.


Stability check: which of them is most stable? 2.


1.
Compound: PRuOF2
Source: the Alexandria database
Functional: GGA-PBE
Structure: optimized geometry

a b c (Å): 4.466 4.466 3.416
angles (deg): 90.00 90.00 90.00
Positions (direct):
P 0.000 0.000 0.000
Ru 0.500 0.500 0.500
O 0.000 0.000 0.500
F 0.000 0.500 0.000
F 0.500 0.000 0.000

Spin magnetization: 3.03 μB/f.u.


2.
Compound: PRuOF2
Source: the Alexandria database
Functional: GGA-PBE
Structure: optimized geometry

a b c (Å): 4.377 4.377 3.679
angles (deg): 90.00 90.00 90.00
Positions (direct):
P 0.000 0.000 0.000
Ru 0.500 0.500 0.500
O 0.500 0.500 0.000
F 0.000 0.500 0.500
F 0.500 0.000 0.500

Spin magnetization: 1.46 μB/f.u.


Stability check: which of them is most stable? 2.


1.
Compound: P2SOF
Source: the Alexandria database
Functional: GGA-PBE
Structure: optimized geometry

a b c (Å): 4.146 4.146 4.199
angles (deg): 90.00 90.00 90.00
Positions (direct):
P 0.000 0.500 0.000
P 0.500 0.000 0.000
S 0.000 0.000 0.500
O 0.000 0.000 0.000
F 0.500 0.500 0.500

Spin magnetization: 0.00 μB/f.u.


2.
Compound: P2SOF
Source: the Alexandria database
Functional: GGA-PBE
Structure: optimized geometry

a b c (Å): 4.304 4.304 3.840
angles (deg): 90.00 90.00 90.00
Positions (direct):
P 0.000 0.500 0.000
P 0.500 0.000 0.000
S 0.000 0.000 0.500
O 0.500 0.500 0.500
F 0.500 0.500 0.000

Spin magnetization: 0.00 μB/f.u.


3.
Compound: P2SOF
Source: the Alexandria database
Functional: GGA-PBE
Structure: optimized geometry

a b c (Å): 4.679 4.679 3.397
angles (deg): 90.00 90.00 90.00
Positions (direct):
P 0.000 0.500 0.000
P 0.500 0.000 0.000
S 0.000 0.000 0.000
O 0.000 0.000 0.500
F 0.500 0.500 0.500

Spin magnetization: 0.00 μB/f.u.


Stability check: which of them is most stable? 3.